Record 1
## Pr2PuAl4Au3 (GGA-PBE)

Data for a relaxed Pr2PuAl4Au3 crystal.

Cell lengths 4.4162, 4.4162, 11.5372 Å; angles 90.00, 90.00, 90.00 degrees
With the nearest neighbours (Å) after each atom.
Sites, in units of the cell vectors:
Pr (0.5000, 0.0000, 0.2369)  8 Al 3.31-3.51, 4 Au 3.41
Pu (0.5000, 0.5000, 0.5000)  4 Al 2.93, 4 Au 3.12
Pr (0.0000, 0.5000, 0.7631)  8 Al 3.31-3.51, 4 Au 3.41
Au (0.0000, 0.0000, 0.5000)  4 Al 2.93, 4 Pu 3.12
Au (0.0000, 0.5000, 0.1180)  5 Al 2.48-2.59
Al (0.5000, 0.0000, 0.6670)  1 Au 2.48
Al (0.0000, 0.0000, 0.0000)  4 Au 2.59
Au (0.5000, 0.0000, 0.8820)  5 Al 2.48-2.59
Al (0.5000, 0.5000, 0.0000)  4 Au 2.59
Al (0.0000, 0.5000, 0.3330)  1 Au 2.48

Computed properties:
**Crystal system**: tetragonal
**Energy relative to the elements**: -0.4913 eV/atom


Record 2
## SrMo2Br (GGA-PBE)

Data for a relaxed SrMo2Br crystal.

Cell lengths 3.0198, 3.0198, 9.1005 Å; angles 90.00, 90.00, 90.00 degrees
With the nearest neighbours (Å) after each atom.
Sites, in units of the cell vectors:
Mo (0.0000, 0.0000, 0.5477)  4 Br 2.82, 4 Mo 3.02
Mo (0.0000, 0.0000, 0.9523)  4 Br 2.82, 4 Mo 3.02
Sr (0.5000, 0.5000, 0.2500)  4 Sr 3.02
Br (0.5000, 0.5000, 0.7500)  8 Mo 2.82, 4 Br 3.02

Computed properties:
**Crystal system**: tetragonal
**Formation energy from raw total energies**: 1.227 eV/atom


Record 3
## La15Tb4Ho (GGA-PBE)

Data for a relaxed La15Tb4Ho crystal.

Cell lengths 5.2121, 5.2121, 26.0687 Å; angles 90.00, 90.00, 90.00 degrees
With the nearest neighbours (Å) after each atom.
Sites, in units of the cell vectors:
Tb (0.0000, 0.0000, 0.8001)  12 La 3.69
Tb (0.0000, 0.0000, 0.6000)  12 La 3.69
La (0.5000, 0.5000, 0.8000)  8 La 3.69, 4 Tb 3.69
Tb (0.0000, 0.0000, 0.1999)  12 La 3.69
La (0.5000, 0.5000, 0.6000)  8 La 3.69, 4 Tb 3.69
La (0.5000, 0.0000, 0.5000)  8 La 3.69, 4 Tb 3.69
La (0.5000, 0.0000, 0.9002)  8 La 3.68-3.69, 2 Ho 3.68, 2 Tb 3.69
La (0.0000, 0.5000, 0.5000)  8 La 3.69, 4 Tb 3.69
La (0.5000, 0.5000, 0.2000)  8 La 3.69, 4 Tb 3.69
La (0.0000, 0.5000, 0.0998)  8 La 3.68-3.69, 2 Ho 3.68, 2 Tb 3.69
La (0.5000, 0.5000, 0.0000)  8 La 3.68, 4 Ho 3.69
La (0.5000, 0.5000, 0.4000)  8 La 3.69, 4 Tb 3.69
La (0.5000, 0.0000, 0.0998)  8 La 3.68-3.69, 2 Ho 3.68, 2 Tb 3.69
Tb (0.0000, 0.0000, 0.4000)  12 La 3.69
La (0.5000, 0.0000, 0.3000)  8 La 3.69, 4 Tb 3.69
La (0.0000, 0.5000, 0.7000)  8 La 3.69, 4 Tb 3.69
La (0.0000, 0.5000, 0.9002)  8 La 3.68-3.69, 2 Ho 3.68, 2 Tb 3.69
Ho (0.0000, 0.0000, 0.0000)  12 La 3.68-3.69
La (0.0000, 0.5000, 0.3000)  8 La 3.69, 4 Tb 3.69
La (0.5000, 0.0000, 0.7000)  8 La 3.69, 4 Tb 3.69

Computed properties:
**Crystal system**: tetragonal
**Energy relative to the elements**: 0.0088 eV/atom